# LaRuSe2

A relaxed structure of LaRuSe2 (GGA-PBE, Alexandria via LeMat-Bulk).

Properties
VASP energy = -5.96 eV per atom
N(E_F) = 3.09 states/eV per cell
E_form (uncorrected) = -0.6680 eV/atom
Energy relative to the lowest polymorph listed for this composition = 1.04 eV per formula unit

Unit cell a=3.816 b=3.816 c=6.154 alpha=90.00 beta=90.00 gamma=90.00
Space group P4mm (No. 99)
Inequivalent atoms, fractional coordinates:
La1 0.000 0.000 0.000 (multiplicity 1)
Ru1 0.500 0.500 0.385 (multiplicity 1)
Se1 0.000 0.000 0.469 (multiplicity 1)
Se2 0.500 0.500 0.811 (multiplicity 1)